First-principles (PBE+U) data for a relaxed structure of AlCrIrF2, as listed in Alexandria.

Uncorrected energy   -5.651 eV/atom
Crystal system   tetragonal

a b c (Å): 3.5529 3.5529 6.1955
angles (deg): 90.00 90.00 90.00
Closest atoms and distances in Å follow each position.
Space group P4/mmm (No. 123)
Inequivalent atoms, fractional coordinates:
Al 0.0000 0.0000 0.0000 x1  4 F 1.78
Cr 0.0000 0.0000 0.5000 x1  4 Ir 2.51
Ir 0.5000 0.5000 0.5000 x1  4 Cr 2.51
F 0.0000 0.5000 0.0000 x2  2 Al 1.78